# 1
VASP calculation (GGA-PBE) on an optimized crystal structure of Pa2VGe4Ir3.

```
Pa2VGe4Ir3
1.0
-2.6656 2.9171 1.3894
-2.2312 -0.3589 -3.5268
-5.7600 -7.3554 4.3925
V Pa Ge Ir
1 2 4 3
Direct
0.5000 0.5000 0.5000
0.0000 0.5000 0.7467
0.5000 0.0000 0.2533
0.0000 0.5000 0.3648
0.5000 0.5000 0.0000
0.0000 0.0000 0.0000
0.5000 0.0000 0.6352
0.0000 0.5000 0.1299
0.5000 0.0000 0.8701
0.0000 0.0000 0.5000
```

Values from the calculation:
N(E_F) in states/eV/f.u.: 9.54
Crystal system: tetragonal
Formation energy in kcal/mol of atoms: -13.48

---

# 2
VASP calculation (GGA-PBE) on an optimized crystal structure of Pa2VGe3Ir4.

```
Pa2VGe3Ir4
1.0
-2.4293 1.2843 -3.0810
-0.1633 -3.8518 -1.4768
-8.4409 -1.8917 5.8670
Ge Pa Ir V
3 2 4 1
Direct
0.0000 0.0000 0.5000
0.5000 0.0000 0.8661
0.0000 0.5000 0.1339
0.5000 0.0000 0.2479
0.0000 0.5000 0.7521
0.5000 0.0000 0.6342
0.5000 0.5000 0.0000
0.0000 0.5000 0.3658
0.0000 0.0000 0.0000
0.5000 0.5000 0.5000
```

Values from the calculation:
N(E_F) in states/eV/f.u.: 10.64
Crystal system: tetragonal
Formation energy in kcal/mol of atoms: -15.51

---

# 3
VASP calculation (GGA-PBE) on an optimized crystal structure of Pa2ZnGe3Ir6.

```
Pa2ZnGe3Ir6
1.0
4.0066 0.0000 0.0000
0.0000 4.0066 0.0000
0.0000 0.0000 15.3849
Ge Ir Zn Pa
3 6 1 2
Direct
0.0000 0.0000 0.3101
0.0000 0.0000 0.6899
0.0000 0.0000 0.0000
0.0000 0.0000 0.8460
0.0000 0.5000 0.6050
0.5000 0.0000 0.6050
0.0000 0.0000 0.1540
0.0000 0.5000 0.3950
0.5000 0.0000 0.3950
0.5000 0.5000 0.5000
0.5000 0.5000 0.2291
0.5000 0.5000 0.7709
```

Values from the calculation:
N(E_F) in states/eV/f.u.: 10.50
Crystal system: tetragonal
Formation energy in kcal/mol of atoms: -5.23

---

# 4
VASP calculation (GGA-PBE) on an optimized crystal structure of Pa2ZnGe3Ir4.

```
Pa2ZnGe3Ir4
1.0
-2.8702 2.7314 -1.1044
-1.2581 0.2579 3.9075
6.8607 7.8920 1.6882
Ir Pa Ge Zn
4 2 3 1
Direct
0.0000 0.0000 0.0000
0.5000 0.0000 0.6431
0.5000 0.5000 0.0000
0.0000 0.5000 0.3569
0.0000 0.5000 0.7484
0.5000 0.0000 0.2516
0.0000 0.5000 0.1306
0.0000 0.0000 0.5000
0.5000 0.0000 0.8694
0.5000 0.5000 0.5000
```

Values from the calculation:
N(E_F) in states/eV/f.u.: 10.43
Crystal system: tetragonal
Formation energy in kcal/mol of atoms: -14.64

---

# 5
VASP calculation (GGA-PBE) on an optimized crystal structure of ZrPaGe2Ir5.

```
ZrPaGe2Ir5
1.0
-4.0617 0.5278 0.3987
-0.3164 -3.7288 1.7121
1.2670 3.6190 8.1161
Ir Zr Ge Pa
5 1 2 1
Direct
0.5000 0.0000 0.2794
0.5000 0.5000 0.5000
0.5000 0.0000 0.7206
0.0000 0.5000 0.7206
0.0000 0.5000 0.2794
0.0000 0.0000 0.5000
0.5000 0.5000 0.8658
0.5000 0.5000 0.1342
0.0000 0.0000 0.0000
```

Values from the calculation:
N(E_F) in states/eV/f.u.: 3.67
Crystal system: tetragonal
Formation energy in kcal/mol of atoms: -15.76

---

# 6
VASP calculation (GGA-PBE) on an optimized crystal structure of GeIrPb2.

```
GeIrPb2
1.0
6.3118 0.0000 0.0000
0.0000 6.3118 0.0000
3.1559 3.1559 6.3382
Ge Pb Ir
2 4 2
Direct
0.5000 0.5000 0.0000
0.2500 0.7500 0.5000
0.3750 0.3536 0.7500
0.6464 0.1250 0.2500
0.8750 0.8964 0.7500
0.1036 0.6250 0.2500
0.7500 0.2500 0.5000
0.0000 0.0000 0.0000
```

Values from the calculation:
N(E_F) in states/eV/f.u.: 3.24
Crystal system: tetragonal
Formation energy in kcal/mol of atoms: 14.45

---

# 7
VASP calculation (GGA-PBE) on an optimized crystal structure of GeIr2Pb2.

```
GeIr2Pb2
1.0
6.3744 0.0000 0.0000
0.0000 6.3744 0.0000
0.0000 0.0000 5.3088
Ge Ir Pb
2 4 4
Direct
0.5000 0.5000 0.0000
0.0000 0.0000 0.0000
0.1429 0.3571 0.0000
0.6429 0.1429 0.0000
0.8571 0.6429 0.0000
0.3571 0.8571 0.0000
0.1815 0.6815 0.5000
0.8185 0.3185 0.5000
0.6815 0.8185 0.5000
0.3185 0.1815 0.5000
```

Values from the calculation:
N(E_F) in states/eV/f.u.: 2.65
Crystal system: tetragonal
Formation energy in kcal/mol of atoms: 5.31

---

# 8
VASP calculation (GGA-PBE) on an optimized crystal structure of Ge2Ir2Pb.

```
Ge2Ir2Pb
1.0
3.9902 0.0000 0.0000
0.0000 3.9902 0.0000
1.9951 1.9951 5.9454
Ge Pb Ir
2 1 2
Direct
0.2500 0.7500 0.5000
0.7500 0.2500 0.5000
0.0000 0.0000 0.0000
0.6239 0.6239 0.7522
0.3761 0.3761 0.2478
```

Values from the calculation:
Offset from the most stable computed form in kJ/mol of formula units: 0
N(E_F) in states/eV/f.u.: 3.61
Crystal system: tetragonal
Formation energy in kcal/mol of atoms: -1.21